Density functional theory data (GGA-PBE) for a relaxed RbLaGa2Se crystal.

The structure belongs to space group P4/mmm (No. 123); the cell edges are 5.756, 5.756 and 8.487 Å and the angles 90.00°, 90.00° and 90.00°. The inequivalent atoms are Rb at (0.000, 0.000, 0.000), La at (0.000, 0.000, 0.500), Ga at (0.000, 0.500, 0.500) and Se at (0.500, 0.500, 0.000).

The value obtained for the formation energy (no corrections) is 0.66 eV/atom. The total magnetization comes out at 0.36 μB per cell. Its final energy is -12.1 eV per cell.